First-principles (GGA+U) data for a geometry-optimized Mn2ReBiO8 structure, as listed in Alexandria via LeMat-Bulk.

VASP energy   -7.334 eV per atom
Fermi-level density of states   1.4 states/eV/f.u.
Density   6.92 g cm⁻³

Unit cell a=6.6838 b=7.0718 c=6.4292 alpha=90.00 beta=90.00 gamma=90.00
Closest atoms and distances in Å follow each position.
Space group Cmmm (No. 65)
One atom of each set of equivalent atoms:
Mn  0.0000  0.0000  0.2448  6 O 2.00-2.22
Re  0.0000  0.5000  0.0000  6 O 1.90-1.95
Bi  0.0000  0.5000  0.5000  6 O 2.19-2.28
O  0.0000  0.3130  0.2114  1 Re 1.90
O  0.1722  0.0000  0.5000  2 Mn 2.00, 1 Bi 2.19
O  0.2085  0.0000  0.0000  1 Re 1.95, 2 Mn 2.10